Below is GeOsF2 after structural relaxation, with properties calculated at the PBE-GGA level.

Cell: 5.433 5.433 8.844 Å, 90.00 90.00 90.00°
Space group I-42d (No. 122)
Asymmetric unit:
Ge (0.000, 0.000, 0.000) x4
Os (0.000, 0.000, 0.500) x4
F (0.247, 0.250, 0.625) x8

Computed properties:
Formation energy without anion corrections in eV/atom: 0.48
Volume in Å³ per cell: 261.08
DOS at the Fermi energy in states/eV/f.u.: 1.3